Material: NaHgBF6
Method: DFT, GGA-PBE
State: optimized geometry

As for the uncorrected formation energy: -2.38 eV/atom. The space group is P1 (1). The total magnetic moment is 0.08 μB/f.u. The density of states at the Fermi level is 0.0 states/eV/f.u. The value obtained for the calculated volume is 145.9 Å³/cell. The density comes out at 3.97 Mg/m³.

Unit cell a=4.464 b=4.966 c=6.881 alpha=95.85 beta=105.51 gamma=91.98
Atoms (fractional coordinates):
Na  0.000  0.000  0.000
Hg  0.403  0.443  0.693
B  0.691  0.444  0.216
F  0.118  0.735  0.739
F  0.460  0.255  0.078
F  0.569  0.579  0.361
F  0.722  0.162  0.704
F  0.784  0.634  0.096
F  0.949  0.294  0.300

=====

Material: Ti3AgPb4O12
Method: DFT, GGA-PBE
State: optimized geometry

As for the uncorrected formation energy: -1.72 eV/atom. The space group is Im-3m (229). The total magnetic moment is 0.00 μB/f.u. The density of states at the Fermi level is 4.4 states/eV/f.u. The value obtained for the calculated volume is 257.5 Å³/cell. The density comes out at 8.21 Mg/m³.

Unit cell a=6.941 b=6.941 c=6.941 alpha=109.47 beta=109.47 gamma=109.47
Atoms (fractional coordinates):
Ti  0.000  0.500  0.500
Ti  0.500  0.000  0.500
Ti  0.500  0.500  0.000
Ag  0.000  0.000  0.000
Pb  0.000  0.000  0.500
Pb  0.000  0.500  0.000
Pb  0.500  0.000  0.000
Pb  0.500  0.500  0.500
O  0.000  0.260  0.260
O  0.000  0.740  0.740
O  0.250  0.500  0.750
O  0.250  0.750  0.500
O  0.260  0.000  0.260
O  0.260  0.260  0.000
O  0.500  0.250  0.750
O  0.500  0.750  0.250
O  0.740  0.000  0.740
O  0.740  0.740  0.000
O  0.750  0.250  0.500
O  0.750  0.500  0.250